# ZnSb4As

A geometry-optimized ZnSb4As structure (PBE, Alexandria).

Its final energy is -76.4 eV for the cell shown. Its magnetic moment is 0.000 μB/atom.

Lattice parameters (Å, degrees): 8.7163 8.7163 8.7163 90.00 90.00 90.00
Last column: nearest neighbours and their distance in Å.
Space group F-43m (No. 216)
Inequivalent atoms, fractional coordinates:
Zn 0.0000 0.0000 0.0000 [4 per cell]  12 Sb 3.61, 4 As 3.77
Sb 0.1247 0.1247 0.3753 [16 per cell]  6 Sb 3.07-3.09
As 0.2500 0.2500 0.7500 [4 per cell]  12 Sb 3.61, 4 Zn 3.77